Material: Tb12PmTm7
Method: DFT, PBE
State: optimized geometry

Properties
Its formation energy is 326 meV per atom. The density of states at the Fermi level is 1.23 states/eV per atom. The energy above the lowest structure with this stoichiometry comes out at 86 meV/atom. The value obtained for the density is 8.1 g cm⁻³. As for the space-group type: R-3 (148).

a = 6.6466 Å, b = 10.9477 Å, c = 10.9477 Å
α = 63.99°, β = 78.32°, γ = 101.68°
Closest atoms and distances in Å follow each position.
Atoms (fractional coordinates):
Tb  0.7027  0.4563  0.0648  2 Tm 3.16-3.29, 5 Tb 3.20-3.47
Tb  0.2325  0.9352  0.5211  2 Tm 3.16-3.29, 5 Tb 3.20-3.47
Tb  0.2083  0.2110  0.2120  4 Tb 3.20-3.47, 3 Tm 3.39-3.51
Tb  0.5797  0.7880  0.4230  4 Tb 3.20-3.47, 3 Tm 3.39-3.51
Tb  0.7536  0.5211  0.5437  2 Tm 3.16-3.29, 5 Tb 3.20-3.47
Tb  0.0027  0.4230  0.7890  4 Tb 3.20-3.47, 3 Tm 3.39-3.51
Tb  0.9973  0.5770  0.2110  4 Tb 3.20-3.47, 3 Tm 3.39-3.51
Tb  0.2464  0.4789  0.4563  2 Tm 3.16-3.29, 5 Tb 3.20-3.47
Tb  0.4203  0.2120  0.5770  4 Tb 3.20-3.47, 3 Tm 3.39-3.51
Tb  0.7917  0.7890  0.7880  4 Tb 3.20-3.47, 3 Tm 3.39-3.51
Tb  0.7675  0.0648  0.4789  2 Tm 3.16-3.29, 5 Tb 3.20-3.47
Tb  0.2973  0.5437  0.9352  2 Tm 3.16-3.29, 5 Tb 3.20-3.47
Pm  0.0000  0.0000  0.0000  8 Tm 3.32-3.44
Tm  0.6975  0.1364  0.1686  1 Tm 3.16, 5 Tb 3.16-3.51, 1 Pm 3.44
Tm  0.1339  0.8314  0.3050  1 Tm 3.16, 5 Tb 3.16-3.51, 1 Pm 3.44
Tm  0.4390  0.3050  0.8636  1 Tm 3.16, 5 Tb 3.16-3.51, 1 Pm 3.44
Tm  0.5000  0.0000  0.0000  6 Tm 3.16, 2 Pm 3.32
Tm  0.5610  0.6950  0.1364  1 Tm 3.16, 5 Tb 3.16-3.51, 1 Pm 3.44
Tm  0.8661  0.1686  0.6950  1 Tm 3.16, 5 Tb 3.16-3.51, 1 Pm 3.44
Tm  0.3025  0.8636  0.8314  1 Tm 3.16, 5 Tb 3.16-3.51, 1 Pm 3.44